A relaxed AsC3 crystal. Source: Alexandria, functional PBEsol.

Values from the calculation:
**Energy of formation from the pure elements**: 3.324 eV per atom
**ΔE to the lowest computed polymorph**: 2.4115 eV per atom
**Spin magnetization**: 0.00 μB per formula unit
**D(E_F)**: 1.32 states/eV/cell

CIF file:
```
data_AsC3
_cell_length_a 3.653
_cell_length_b 3.653
_cell_length_c 2.723
_cell_angle_alpha 90.00
_cell_angle_beta 90.00
_cell_angle_gamma 90.00
_symmetry_space_group_name_H-M 'P 1'
_symmetry_Int_Tables_number 1
loop_
_symmetry_equiv_pos_as_xyz
'x,y,z'
loop_
_atom_site_label
_atom_site_fract_x
_atom_site_fract_y
_atom_site_fract_z
As1 0.000 0.000 0.000
C1 0.000 0.500 0.500
C2 0.500 0.000 0.500
C3 0.500 0.500 0.000
```